First-principles (PBE) data for an optimized crystal structure of AcAlZn2Cd, as listed in the Alexandria database.

Output
VASP energy = -2.58 eV per atom
energy relative to the elements = -0.319 eV per atom
volume = 113.3 Å³/cell
space group = I-4m2 (119)

Geometry as POSCAR:
```
AcAlZn2Cd
1.0
-2.253 2.253 5.578
2.253 -2.253 5.578
2.253 2.253 -5.578
Ac Al Zn Cd
1 1 2 1
direct
0.000 0.000 0.000
0.250 0.750 0.500
0.386 0.386 0.000
0.614 0.614 0.000
0.750 0.250 0.500
```